Material: LiGa2Sb
Method: DFT, GGA-PBE
State: optimized geometry

Results
As for the energy: -12.7 eV per cell. The calculation puts the total moment at 0.0 μB/cell.

The structure in CIF format:
```
data_LiGa2Sb
_chemical_formula_sum 'Li1 Ga2 Sb1'
_cell_length_a 4.297
_cell_length_b 4.297
_cell_length_c 4.398
_cell_angle_alpha 90.00
_cell_angle_beta 90.00
_cell_angle_gamma 90.00
_space_group_name_H-M_alt 'P 4/m m m'
_space_group_IT_number 123
_space_group_name_Hall '-P 4 2'
loop_
_atom_site_label
_atom_site_type_symbol
_atom_site_fract_x
_atom_site_fract_y
_atom_site_fract_z
_atom_site_occupancy
Li1 Li 0.000 0.000 0.000 1
Ga1 Ga 0.000 0.500 0.500 1
Sb1 Sb 0.500 0.500 0.000 1
```